Tl2InCl5 | PBE-GGA | relaxed

a = 7.4417 Å, b = 8.9713 Å, c = 9.4531 Å
α = 64.60°, β = 66.82°, γ = 65.50°
Fractional coordinates of all 16 atoms:
Tl 0.6191 0.4564 0.3241
Tl 0.2788 0.1110 0.3061
Tl 0.6004 0.9564 0.8241
Tl 0.3041 0.6110 0.8061
In 0.9504 0.7831 0.3147
In 0.9518 0.2831 0.8147
Cl 0.7065 0.3073 0.6790
Cl 0.0280 0.5607 0.1856
Cl 0.1981 0.2601 0.9490
Cl 0.3072 0.8073 0.1790
Cl 0.2257 0.0607 0.6856
Cl 0.5928 0.7601 0.4490
Cl 0.6788 0.5062 0.9433
Cl 0.8717 0.0062 0.4433
Cl 0.8056 0.0337 0.0642
Cl 0.0965 0.5337 0.5642

Properties
uncorrected formation energy	-832	kJ/mol of formula units
uncorrected energy	-3.166	eV per atom
space group	No. 9
theoretical density	4.6	Mg/m³


TlInCl | PBE-GGA | relaxed

a = 4.5377 Å, b = 4.2650 Å, c = 9.8782 Å
α = 90.00°, β = 95.53°, γ = 90.00°
Fractional coordinates of all 6 atoms:
Tl 0.5261 0.0000 0.3947
Tl 0.9900 0.5000 0.1195
Cl 0.4766 0.0000 0.0926
Cl 0.5178 0.0000 0.7239
In 0.9489 0.5000 0.7869
In 0.0507 0.5000 0.4811

Properties
uncorrected formation energy	-137	kJ/mol of formula units
polymorph energy (0 for the lowest one)	11.4	meV per atom
uncorrected energy	-2.792	eV per atom
space group	No. 6
theoretical density	6.2	Mg/m³


TlIn2Cl | PBE-GGA | relaxed

a = 6.5116 Å, b = 6.5116 Å, c = 8.7221 Å
α = 68.08°, β = 68.08°, γ = 90.00°
Fractional coordinates of all 8 atoms:
Tl 0.0000 0.0000 0.0000
Tl 0.7500 0.2500 0.5000
Cl 0.5000 0.5000 0.0000
Cl 0.2500 0.7500 0.5000
In 0.6290 0.1250 0.2500
In 0.1210 0.6250 0.2500
In 0.3750 0.3710 0.7500
In 0.8750 0.8790 0.7500

Properties
uncorrected formation energy	-39	kJ/mol of formula units
polymorph energy (0 for the lowest one)	251.2	meV per atom
uncorrected energy	-2.524	eV per atom
space group	No. 122
theoretical density	5.0	Mg/m³


TlIn2Cl | PBE-GGA | relaxed

a = 10.1057 Å, b = 10.1057 Å, c = 10.1057 Å
α = 20.61°, β = 20.61°, γ = 20.61°
Fractional coordinates of all 4 atoms:
Tl 0.2500 0.2500 0.2500
Cl 0.7500 0.7500 0.7500
In 0.0075 0.0075 0.0075
In 0.4925 0.4925 0.4925

Properties
uncorrected formation energy	-109	kJ/mol of formula units
polymorph energy (0 for the lowest one)	71.3	meV per atom
uncorrected energy	-2.704	eV per atom
space group	No. 166
theoretical density	7.0	Mg/m³


TlIn2Cl | PBE-GGA | relaxed

a = 3.5161 Å, b = 3.5161 Å, c = 9.2516 Å
α = 90.00°, β = 90.00°, γ = 90.00°
Fractional coordinates of all 4 atoms:
Tl 0.0000 0.0000 0.5299
Cl 0.5000 0.5000 0.7421
In 0.0000 0.0000 0.9943
In 0.5000 0.5000 0.2336

Properties
uncorrected formation energy	-109	kJ/mol of formula units
polymorph energy (0 for the lowest one)	71.2	meV per atom
uncorrected energy	-2.704	eV per atom
space group	No. 99
theoretical density	6.8	Mg/m³


TlInCl4 | PBE-GGA | relaxed

a = 6.2149 Å, b = 6.2149 Å, c = 6.2149 Å
α = 60.00°, β = 60.00°, γ = 60.00°
Fractional coordinates of all 6 atoms:
Tl 0.0000 0.0000 0.0000
In 0.7500 0.7500 0.7500
Cl 0.8746 0.3751 0.3751
Cl 0.3751 0.3751 0.8746
Cl 0.3751 0.8746 0.3751
Cl 0.3751 0.3751 0.3751

Properties
uncorrected formation energy	-102	kJ/mol of formula units
polymorph energy (0 for the lowest one)	907.9	meV per atom
uncorrected energy	-2.259	eV per atom
space group	No. 216
theoretical density	4.5	Mg/m³